Density functional theory data (GGA-PBE) for a relaxed Be2InPd7 crystal.

a b c (Å): 4.151 6.555 6.555
angles (deg): 113.13 90.00 90.00
Sites, in units of the cell vectors:
1 Be 0.500 0.712 0.288
2 Be 0.500 0.288 0.712
3 In 0.000 0.000 0.000
4 Pd 0.000 0.672 0.328
5 Pd 0.000 0.328 0.672
6 Pd 0.500 0.061 0.320
7 Pd 0.500 0.939 0.680
8 Pd 0.500 0.320 0.061
9 Pd 0.500 0.680 0.939
10 Pd 0.500 0.500 0.500

## Properties
Its magnetic moment is 0.00 μB/cell. As for the formation enthalpy at 0 K: -0.13 eV per atom. As for the calculated total energy: -4.784 eV/atom.


Density functional theory data (GGA-PBE) for a relaxed AcSIO4 crystal.

a b c (Å): 6.573 6.573 7.089
angles (deg): 80.08 80.08 66.70
Sites, in units of the cell vectors:
1 Ac 0.256 0.256 0.827
2 Ac 0.744 0.744 0.173
3 S 0.630 0.630 0.749
4 S 0.370 0.370 0.251
5 I 0.039 0.039 0.243
6 I 0.961 0.961 0.757
7 O 0.308 0.308 0.457
8 O 0.692 0.692 0.543
9 O 0.164 0.492 0.148
10 O 0.505 0.505 0.229
11 O 0.508 0.836 0.852
12 O 0.492 0.164 0.148
13 O 0.495 0.495 0.771
14 O 0.836 0.508 0.852

## Properties
The value obtained for the formation energy from raw total energies is -2.016 eV/atom. Its magnetic moment is 0.00 μB/cell. As for the calculated total energy: -6.247 eV/atom.


Density functional theory data (GGA-PBE) for a relaxed Er2ScAl crystal.

a b c (Å): 4.552 4.654 4.654
angles (deg): 90.00 90.00 90.00
Sites, in units of the cell vectors:
1 Sc 0.500 0.000 0.000
2 Al 0.500 0.500 0.500
3 Er 0.000 0.000 0.500
4 Er 0.000 0.500 0.000

## Properties
Its magnetic moment is 0.00 μB/cell. As for the formation enthalpy at 0 K: -0.20 eV per atom. As for the calculated total energy: -5.003 eV/atom.


Among the records above, which one has the highest calculated total energy? Be2InPd7


What is the formula in the second record? AcSIO4


What is the magnetic moment in the first record? 0.00 μB/cell


Among the records above, which one has the highest calculated total energy? Be2InPd7